# 1
VASP calculation (PBE) on AlSnI2N after structural relaxation.

Summary:
total DFT energy (no corrections): -16.49 eV/f.u.
distance to the lowest polymorph of the same formula: 457 meV/atom
formation energy without anion corrections: 536 meV per atom
crystal system: tetragonal

Lattice parameters (Å, degrees): 6.188 6.188 3.924 90.00 90.00 90.00
Space group P4/mmm (No. 123)
One atom of each set of equivalent atoms:
1 Al 0.000 0.000 0.000 x1
2 Sn 0.500 0.500 0.500 x1
3 I 0.000 0.500 0.500 x2
4 N 0.500 0.500 0.000 x1

---

# 2
VASP calculation (PBE) on SrAlI2N after structural relaxation.

Summary:
total DFT energy (no corrections): -15.89 eV/f.u.
distance to the lowest polymorph of the same formula: 739 meV/atom
formation energy without anion corrections: 193 meV per atom
crystal system: tetragonal

Lattice parameters (Å, degrees): 6.477 6.477 5.007 90.00 90.00 90.00
Space group P4/mmm (No. 123)
One atom of each set of equivalent atoms:
1 Sr 0.000 0.000 0.000 x1
2 Al 0.500 0.500 0.500 x1
3 I 0.000 0.500 0.000 x2
4 N 0.000 0.000 0.500 x1

---

# 3
VASP calculation (PBE) on SrAlI2N after structural relaxation.

Summary:
total DFT energy (no corrections): -19.58 eV/f.u.
distance to the lowest polymorph of the same formula: 0 meV/atom
formation energy without anion corrections: -546 meV per atom
crystal system: tetragonal

Lattice parameters (Å, degrees): 5.986 5.986 3.654 90.00 90.00 90.00
Space group P4/mmm (No. 123)
One atom of each set of equivalent atoms:
1 Sr 0.000 0.000 0.000 x1
2 Al 0.500 0.500 0.500 x1
3 I 0.000 0.500 0.500 x2
4 N 0.500 0.500 0.000 x1

---

# 4
VASP calculation (PBE) on TaAlIN2 after structural relaxation.

Summary:
total DFT energy (no corrections): -27.17 eV/f.u.
distance to the lowest polymorph of the same formula: 900 meV/atom
formation energy without anion corrections: 1326 meV per atom
crystal system: tetragonal

Lattice parameters (Å, degrees): 3.882 3.882 5.267 90.00 90.00 90.00
Space group P4/mmm (No. 123)
One atom of each set of equivalent atoms:
1 Ta 0.000 0.000 0.000 x1
2 Al 0.500 0.500 0.500 x1
3 I 0.500 0.500 0.000 x1
4 N 0.000 0.500 0.500 x2

---

# 5
VASP calculation (PBE) on TaAlI2N after structural relaxation.

Summary:
total DFT energy (no corrections): -23.16 eV/f.u.
distance to the lowest polymorph of the same formula: 601 meV/atom
formation energy without anion corrections: 771 meV per atom
crystal system: tetragonal

Lattice parameters (Å, degrees): 5.682 5.682 3.473 90.00 90.00 90.00
Space group P4/mmm (No. 123)
One atom of each set of equivalent atoms:
1 Ta 0.000 0.000 0.000 x1
2 Al 0.500 0.500 0.500 x1
3 I 0.000 0.500 0.500 x2
4 N 0.500 0.500 0.000 x1

---

# 6
VASP calculation (PBE) on TaAlI2N after structural relaxation.

Summary:
total DFT energy (no corrections): -26.17 eV/f.u.
distance to the lowest polymorph of the same formula: 0 meV/atom
formation energy without anion corrections: 171 meV per atom
crystal system: tetragonal

Lattice parameters (Å, degrees): 5.759 5.759 3.943 90.00 90.00 90.00
Space group P4/mmm (No. 123)
One atom of each set of equivalent atoms:
1 Ta 0.000 0.000 0.000 x1
2 Al 0.500 0.500 0.500 x1
3 I 0.000 0.500 0.000 x2
4 N 0.000 0.000 0.500 x1

---

# 7
VASP calculation (PBE) on TaAlIN2 after structural relaxation.

Summary:
total DFT energy (no corrections): -31.66 eV/f.u.
distance to the lowest polymorph of the same formula: 0 meV/atom
formation energy without anion corrections: 426 meV per atom
crystal system: tetragonal

Lattice parameters (Å, degrees): 4.103 4.103 5.765 90.00 90.00 90.00
Space group P4/mmm (No. 123)
One atom of each set of equivalent atoms:
1 Ta 0.000 0.000 0.000 x1
2 Al 0.500 0.500 0.500 x1
3 I 0.000 0.000 0.500 x1
4 N 0.000 0.500 0.000 x2

---

# 8
VASP calculation (PBE) on AlTcIN2 after structural relaxation.

Summary:
total DFT energy (no corrections): -28.25 eV/f.u.
distance to the lowest polymorph of the same formula: 0 meV/atom
formation energy without anion corrections: 813 meV per atom
crystal system: tetragonal

Lattice parameters (Å, degrees): 3.961 3.961 5.641 90.00 90.00 90.00
Space group P4/mmm (No. 123)
One atom of each set of equivalent atoms:
1 Al 0.000 0.000 0.000 x1
2 Tc 0.500 0.500 0.500 x1
3 I 0.500 0.500 0.000 x1
4 N 0.000 0.500 0.500 x2

---

# 9
VASP calculation (PBE) on AlTcIN2 after structural relaxation.

Summary:
total DFT energy (no corrections): -25.77 eV/f.u.
distance to the lowest polymorph of the same formula: 495 meV/atom
formation energy without anion corrections: 1308 meV per atom
crystal system: tetragonal

Lattice parameters (Å, degrees): 3.829 3.829 6.091 90.00 90.00 90.00
Space group P4/mmm (No. 123)
One atom of each set of equivalent atoms:
1 Al 0.000 0.000 0.000 x1
2 Tc 0.500 0.500 0.500 x1
3 I 0.000 0.000 0.500 x1
4 N 0.000 0.500 0.000 x2

---

# 10
VASP calculation (PBE) on AlTeIN2 after structural relaxation.

Summary:
total DFT energy (no corrections): -19.43 eV/f.u.
distance to the lowest polymorph of the same formula: 5 meV/atom
formation energy without anion corrections: 1131 meV per atom
crystal system: tetragonal

Lattice parameters (Å, degrees): 4.119 4.119 6.175 90.00 90.00 90.00
Space group P4/mmm (No. 123)
One atom of each set of equivalent atoms:
1 Al 0.000 0.000 0.000 x1
2 Te 0.500 0.500 0.500 x1
3 I 0.000 0.000 0.500 x1
4 N 0.000 0.500 0.000 x2

---

# 11
VASP calculation (PBE) on AlTeIN2 after structural relaxation.

Summary:
total DFT energy (no corrections): -16.84 eV/f.u.
distance to the lowest polymorph of the same formula: 523 meV/atom
formation energy without anion corrections: 1649 meV per atom
crystal system: tetragonal

Lattice parameters (Å, degrees): 4.011 4.011 7.852 90.00 90.00 90.00
Space group P4/mmm (No. 123)
One atom of each set of equivalent atoms:
1 Al 0.000 0.000 0.000 x1
2 Te 0.500 0.500 0.000 x1
3 I 0.500 0.500 0.500 x1
4 N 0.000 0.500 0.500 x2

---

# 12
VASP calculation (PBE) on AlTeIN2 after structural relaxation.

Summary:
total DFT energy (no corrections): -18.23 eV/f.u.
distance to the lowest polymorph of the same formula: 244 meV/atom
formation energy without anion corrections: 1370 meV per atom
crystal system: tetragonal

Lattice parameters (Å, degrees): 4.143 4.143 7.683 90.00 90.00 90.00
Space group P4/mmm (No. 123)
One atom of each set of equivalent atoms:
1 Al 0.000 0.000 0.000 x1
2 Te 0.500 0.500 0.500 x1
3 I 0.500 0.500 0.000 x1
4 N 0.000 0.500 0.500 x2

---

# 13
VASP calculation (PBE) on AlTe2IN after structural relaxation.

Summary:
total DFT energy (no corrections): -18.08 eV/f.u.
distance to the lowest polymorph of the same formula: 0 meV/atom
formation energy without anion corrections: 364 meV per atom
crystal system: tetragonal

Lattice parameters (Å, degrees): 5.931 5.931 3.502 90.00 90.00 90.00
Space group P4/mmm (No. 123)
One atom of each set of equivalent atoms:
1 Al 0.000 0.000 0.000 x1
2 Te 0.000 0.500 0.000 x2
3 I 0.500 0.500 0.500 x1
4 N 0.000 0.000 0.500 x1

---

# 14
VASP calculation (PBE) on AlTeIN2 after structural relaxation.

Summary:
total DFT energy (no corrections): -19.45 eV/f.u.
distance to the lowest polymorph of the same formula: 0 meV/atom
formation energy without anion corrections: 1126 meV per atom
crystal system: tetragonal

Lattice parameters (Å, degrees): 4.024 4.024 6.182 90.00 90.00 90.00
Space group P4/mmm (No. 123)
One atom of each set of equivalent atoms:
1 Al 0.000 0.000 0.000 x1
2 Te 0.000 0.000 0.500 x1
3 I 0.500 0.500 0.500 x1
4 N 0.000 0.500 0.000 x2

---

# 15
VASP calculation (PBE) on AlTe2IN after structural relaxation.

Summary:
total DFT energy (no corrections): -14.14 eV/f.u.
distance to the lowest polymorph of the same formula: 789 meV/atom
formation energy without anion corrections: 1153 meV per atom
crystal system: tetragonal

Lattice parameters (Å, degrees): 5.372 5.372 5.675 90.00 90.00 90.00
Space group P4/mmm (No. 123)
One atom of each set of equivalent atoms:
1 Al 0.000 0.000 0.000 x1
2 Te 0.000 0.500 0.000 x2
3 I 0.000 0.000 0.500 x1
4 N 0.500 0.500 0.500 x1

---

# 16
VASP calculation (PBE) on AlTe2IN after structural relaxation.

Summary:
total DFT energy (no corrections): -15.88 eV/f.u.
distance to the lowest polymorph of the same formula: 440 meV/atom
formation energy without anion corrections: 804 meV per atom
crystal system: tetragonal

Lattice parameters (Å, degrees): 4.917 4.917 4.832 90.00 90.00 90.00
Space group P4/mmm (No. 123)
One atom of each set of equivalent atoms:
1 Al 0.000 0.000 0.000 x1
2 Te 0.000 0.500 0.500 x2
3 I 0.500 0.500 0.000 x1
4 N 0.500 0.500 0.500 x1

---

# 17
VASP calculation (PBE) on AlTe2IN after structural relaxation.

Summary:
total DFT energy (no corrections): -13.79 eV/f.u.
distance to the lowest polymorph of the same formula: 858 meV/atom
formation energy without anion corrections: 1222 meV per atom
crystal system: tetragonal

Lattice parameters (Å, degrees): 6.104 6.104 3.906 90.00 90.00 90.00
Space group P4/mmm (No. 123)
One atom of each set of equivalent atoms:
1 Al 0.000 0.000 0.000 x1
2 Te 0.000 0.500 0.500 x2
3 I 0.500 0.500 0.500 x1
4 N 0.500 0.500 0.000 x1

---

# 18
VASP calculation (PBE) on TiAlIN2 after structural relaxation.

Summary:
total DFT energy (no corrections): -25.92 eV/f.u.
distance to the lowest polymorph of the same formula: 337 meV/atom
formation energy without anion corrections: 783 meV per atom
crystal system: tetragonal

Lattice parameters (Å, degrees): 3.831 3.831 5.514 90.00 90.00 90.00
Space group P4/mmm (No. 123)
One atom of each set of equivalent atoms:
1 Ti 0.000 0.000 0.000 x1
2 Al 0.500 0.500 0.500 x1
3 I 0.500 0.500 0.000 x1
4 N 0.000 0.500 0.500 x2

---

# 19
VASP calculation (PBE) on TiAlIN2 after structural relaxation.

Summary:
total DFT energy (no corrections): -27.61 eV/f.u.
distance to the lowest polymorph of the same formula: 0 meV/atom
formation energy without anion corrections: 446 meV per atom
crystal system: tetragonal

Lattice parameters (Å, degrees): 3.999 3.999 5.733 90.00 90.00 90.00
Space group P4/mmm (No. 123)
One atom of each set of equivalent atoms:
1 Ti 0.000 0.000 0.000 x1
2 Al 0.500 0.500 0.500 x1
3 I 0.000 0.000 0.500 x1
4 N 0.000 0.500 0.000 x2

---

# 20
VASP calculation (PBE) on AlTlIN2 after structural relaxation.

Summary:
total DFT energy (no corrections): -15.80 eV/f.u.
distance to the lowest polymorph of the same formula: 769 meV/atom
formation energy without anion corrections: 1702 meV per atom
crystal system: tetragonal

Lattice parameters (Å, degrees): 4.448 4.448 6.850 90.00 90.00 90.00
Space group P4/mmm (No. 123)
One atom of each set of equivalent atoms:
1 Al 0.000 0.000 0.000 x1
2 Tl 0.500 0.500 0.500 x1
3 I 0.500 0.500 0.000 x1
4 N 0.000 0.500 0.500 x2